No. 1
First-principles (PBE) data for a relaxed structure of LaMgTlIn, as listed in Alexandria via LeMat-Bulk.

space group = F-43m
polymorph energy (0 for the lowest one) = 31 meV/atom
energy of formation = -322 meV per atom

Cell: 5.381 5.381 5.381 Å, 60.00 60.00 60.00°
Element x y z (fractional)
La: 0.000 0.000 0.000
Mg: 0.500 0.500 0.500
Tl: 0.250 0.250 0.250
In: 0.750 0.750 0.750


No. 2
First-principles (PBE) data for a relaxed structure of RbTl2ICl4, as listed in Alexandria via LeMat-Bulk.

space group = Imma
formation energy from raw total energies = -923 meV/atom

Cell: 9.189 9.189 9.189 Å, 123.57 112.68 93.52°
Element x y z (fractional)
Rb: 0.000 0.000 0.000
Rb: 0.500 0.000 0.500
Tl: 0.000 0.500 0.500
Tl: 0.500 0.000 0.000
Tl: 0.500 0.500 0.000
Tl: 0.500 0.500 0.500
I: 0.000 0.000 0.500
I: 0.000 0.500 0.000
Cl: 0.288 0.290 0.503
Cl: 0.288 0.785 0.997
Cl: 0.321 0.749 0.572
Cl: 0.324 0.251 0.072
Cl: 0.676 0.749 0.928
Cl: 0.679 0.251 0.428
Cl: 0.712 0.215 0.003
Cl: 0.712 0.710 0.497


No. 3
First-principles (PBE) data for a relaxed structure of Ca2YNb, as listed in Alexandria via LeMat-Bulk.

space group = Fm-3m
polymorph energy (0 for the lowest one) = 0 meV/atom
energy of formation = 633 meV per atom

Cell: 5.531 5.531 5.531 Å, 60.00 60.00 60.00°
Element x y z (fractional)
Ca: 0.250 0.250 0.250
Ca: 0.750 0.750 0.750
Y: 0.000 0.000 0.000
Nb: 0.500 0.500 0.500


No. 4
First-principles (PBE) data for a relaxed structure of SmAlAg2, as listed in Alexandria via LeMat-Bulk.

space group = Pnma
polymorph energy (0 for the lowest one) = 0 meV/atom
energy of formation = -306 meV per atom

Cell: 8.313 7.192 5.708 Å, 90.00 90.00 90.00°
Element x y z (fractional)
Sm: 0.053 0.250 0.146
Sm: 0.447 0.750 0.646
Sm: 0.553 0.250 0.354
Sm: 0.947 0.750 0.854
Al: 0.111 0.750 0.349
Al: 0.389 0.250 0.849
Al: 0.611 0.750 0.151
Al: 0.889 0.250 0.651
Ag: 0.176 0.050 0.612
Ag: 0.176 0.450 0.612
Ag: 0.324 0.550 0.112
Ag: 0.324 0.950 0.112
Ag: 0.676 0.050 0.888
Ag: 0.676 0.450 0.888
Ag: 0.824 0.550 0.388
Ag: 0.824 0.950 0.388


No. 5
First-principles (PBE) data for a relaxed structure of PmCdCuSi, as listed in Alexandria via LeMat-Bulk.

space group = F-43m
formation energy from raw total energies = -178 meV/atom

Cell: 4.833 4.833 4.833 Å, 60.00 60.00 60.00°
Element x y z (fractional)
Pm: 0.000 0.000 0.000
Cd: 0.500 0.500 0.500
Cu: 0.750 0.750 0.750
Si: 0.250 0.250 0.250


No. 6
First-principles (PBE) data for a relaxed structure of TbSc5Au6, as listed in Alexandria via LeMat-Bulk.

space group = Immm
energy of formation = -800 meV per atom

Cell: 8.445 8.445 8.445 Å, 146.48 132.01 59.80°
Element x y z (fractional)
Tb: 0.000 0.000 0.000
Sc: 0.166 0.666 0.500
Sc: 0.332 0.332 0.000
Sc: 0.500 0.000 0.500
Sc: 0.668 0.668 0.000
Sc: 0.834 0.334 0.500
Au: 0.086 0.828 0.258
Au: 0.268 0.500 0.768
Au: 0.431 0.172 0.258
Au: 0.569 0.828 0.742
Au: 0.732 0.500 0.232
Au: 0.914 0.172 0.742


No. 7
First-principles (PBE) data for a relaxed structure of In2Ge2P, as listed in Alexandria via LeMat-Bulk.

space group = P4/mbm
polymorph energy (0 for the lowest one) = 0 meV/atom
energy of formation = 264 meV per atom

Cell: 6.624 6.624 5.228 Å, 90.00 90.00 90.00°
Element x y z (fractional)
In: 0.182 0.318 0.000
In: 0.318 0.818 0.000
In: 0.682 0.182 0.000
In: 0.818 0.682 0.000
Ge: 0.141 0.641 0.500
Ge: 0.359 0.141 0.500
Ge: 0.641 0.859 0.500
Ge: 0.859 0.359 0.500
P: 0.000 0.000 0.500
P: 0.500 0.500 0.500


No. 8
First-principles (PBE) data for a relaxed structure of CaTl3Sb, as listed in Alexandria via LeMat-Bulk.

space group = Pm-3m
formation energy from raw total energies = 494 meV/atom
polymorph energy (0 for the lowest one) = 228 meV/atom

Cell: 5.861 5.861 5.861 Å, 90.00 90.00 90.00°
Element x y z (fractional)
Ca: 0.000 0.000 0.000
Tl: 0.000 0.000 0.500
Tl: 0.000 0.500 0.000
Tl: 0.500 0.000 0.000
Sb: 0.500 0.500 0.500


No. 9
First-principles (PBE) data for a relaxed structure of BaPBr, as listed in Alexandria via LeMat-Bulk.

space group = P3m1
formation energy from raw total energies = -546 meV/atom
polymorph energy (0 for the lowest one) = 261 meV/atom

Cell: 4.917 4.917 6.807 Å, 90.00 90.00 120.00°
Element x y z (fractional)
Ba: 0.000 0.000 0.000
P: 0.333 0.667 0.758
Br: 0.667 0.333 0.235


No. 10
First-principles (PBE) data for a relaxed structure of LiSnF3, as listed in Alexandria via LeMat-Bulk.

space group = Pm-3m
formation energy from raw total energies = -2425 meV/atom
polymorph energy (0 for the lowest one) = 94 meV/atom

Cell: 3.894 3.894 3.894 Å, 90.00 90.00 90.00°
Element x y z (fractional)
Li: 0.000 0.000 0.000
Sn: 0.500 0.500 0.500
F: 0.000 0.000 0.500
F: 0.000 0.500 0.000
F: 0.500 0.000 0.000


No. 11
First-principles (PBE) data for a relaxed structure of Pm3TePdBr, as listed in Alexandria via LeMat-Bulk.

space group = P2_1/m
formation energy from raw total energies = -1050 meV/atom

Cell: 7.490 4.161 11.462 Å, 90.00 102.94 90.00°
Element x y z (fractional)
Pm: 0.205 0.250 0.006
Pm: 0.217 0.250 0.612
Pm: 0.264 0.750 0.318
Pm: 0.736 0.250 0.682
Pm: 0.783 0.750 0.388
Pm: 0.795 0.750 0.994
Te: 0.053 0.750 0.801
Te: 0.947 0.250 0.199
Pd: 0.473 0.750 0.572
Pd: 0.527 0.250 0.428
Br: 0.481 0.750 0.128
Br: 0.519 0.250 0.872


No. 12
First-principles (PBE) data for a relaxed structure of DyTm2ThSc5, as listed in Alexandria via LeMat-Bulk.

space group = Cmc2_1
energy of formation = 179 meV per atom

Cell: 10.155 10.155 9.601 Å, 90.00 90.00 149.33°
Element x y z (fractional)
Dy: 0.205 0.795 0.500
Dy: 0.795 0.205 0.000
Tm: 0.107 0.893 0.797
Tm: 0.134 0.866 0.180
Tm: 0.866 0.134 0.680
Tm: 0.893 0.107 0.297
Th: 0.407 0.593 0.898
Th: 0.593 0.407 0.398
Sc: 0.017 0.983 0.500
Sc: 0.263 0.737 0.823
Sc: 0.309 0.691 0.199
Sc: 0.401 0.599 0.497
Sc: 0.474 0.526 0.201
Sc: 0.526 0.474 0.701
Sc: 0.599 0.401 0.997
Sc: 0.691 0.309 0.699
Sc: 0.737 0.263 0.323
Sc: 0.983 0.017 0.000


No. 13
First-principles (PBE) data for a relaxed structure of HoThPt4, as listed in Alexandria via LeMat-Bulk.

space group = F-43m
energy of formation = -1088 meV per atom

Cell: 5.484 5.484 5.484 Å, 60.00 60.00 60.00°
Element x y z (fractional)
Ho: 0.000 0.000 0.000
Th: 0.250 0.250 0.250
Pt: 0.124 0.625 0.625
Pt: 0.625 0.124 0.625
Pt: 0.625 0.625 0.124
Pt: 0.625 0.625 0.625


No. 14
First-principles (PBE) data for a relaxed structure of Sc2CrIn, as listed in Alexandria via LeMat-Bulk.

space group = R-3m
energy of formation = 545 meV per atom

Cell: 10.170 10.170 10.170 Å, 17.48 17.48 17.48°
Element x y z (fractional)
Sc: 0.081 0.081 0.081
Sc: 0.919 0.919 0.919
Cr: 0.000 0.000 0.000
In: 0.500 0.500 0.500


No. 15
First-principles (PBE) data for a relaxed structure of SiSb2Cl, as listed in Alexandria via LeMat-Bulk.

space group = P4/mmm
formation energy from raw total energies = 345 meV/atom
polymorph energy (0 for the lowest one) = 311 meV/atom

Cell: 5.356 5.356 3.233 Å, 90.00 90.00 90.00°
Element x y z (fractional)
Si: 0.000 0.000 0.000
Sb: 0.000 0.500 0.500
Sb: 0.500 0.000 0.500
Cl: 0.500 0.500 0.000


No. 16
First-principles (PBE) data for a relaxed structure of In2CuB2Rh5, as listed in Alexandria via LeMat-Bulk.

space group = P4/mbm
energy of formation = -311 meV per atom

Cell: 9.571 9.571 2.956 Å, 90.00 90.00 90.00°
Element x y z (fractional)
In: 0.178 0.322 0.000
In: 0.322 0.822 0.000
In: 0.678 0.178 0.000
In: 0.822 0.678 0.000
Cu: 0.000 0.000 0.000
Cu: 0.500 0.500 0.000
B: 0.127 0.627 0.000
B: 0.373 0.127 0.000
B: 0.627 0.873 0.000
B: 0.873 0.373 0.000
Rh: 0.000 0.500 0.500
Rh: 0.069 0.781 0.500
Rh: 0.219 0.069 0.500
Rh: 0.281 0.569 0.500
Rh: 0.431 0.281 0.500
Rh: 0.500 0.000 0.500
Rh: 0.569 0.719 0.500
Rh: 0.719 0.431 0.500
Rh: 0.781 0.931 0.500
Rh: 0.931 0.219 0.500


No. 17
First-principles (PBE) data for a relaxed structure of Cu2TePt, as listed in Alexandria via LeMat-Bulk.

space group = R3m
formation energy from raw total energies = 66 meV/atom

Cell: 4.999 4.999 4.999 Å, 50.51 50.51 50.51°
Element x y z (fractional)
Cu: 0.000 0.000 0.000
Cu: 0.355 0.355 0.355
Te: 0.796 0.796 0.796
Pt: 0.583 0.583 0.583


No. 18
First-principles (PBE) data for a relaxed structure of SiNiAg2, as listed in Alexandria via LeMat-Bulk.

space group = I-4m2
formation energy from raw total energies = 191 meV/atom

Cell: 4.755 4.755 4.755 Å, 131.15 131.15 71.57°
Element x y z (fractional)
Si: 0.000 0.000 0.000
Ni: 0.750 0.250 0.500
Ag: 0.250 0.750 0.500
Ag: 0.500 0.500 0.000


No. 19
First-principles (PBE) data for a relaxed structure of TbCu3S3, as listed in Alexandria via LeMat-Bulk.

space group = R-3
formation energy from raw total energies = -860 meV/atom

Cell: 7.470 7.470 7.470 Å, 53.34 53.34 53.34°
Element x y z (fractional)
Tb: 0.166 0.166 0.166
Tb: 0.834 0.834 0.834
Cu: 0.036 0.377 0.719
Cu: 0.281 0.964 0.623
Cu: 0.377 0.719 0.036
Cu: 0.623 0.281 0.964
Cu: 0.719 0.036 0.377
Cu: 0.964 0.623 0.281
S: 0.084 0.747 0.417
S: 0.253 0.583 0.916
S: 0.417 0.084 0.747
S: 0.583 0.916 0.253
S: 0.747 0.417 0.084
S: 0.916 0.253 0.583


No. 20
First-principles (PBE) data for a relaxed structure of KMg2Cl5, as listed in Alexandria via LeMat-Bulk.

space group = Cmcm
formation energy from raw total energies = -1848 meV/atom

Cell: 6.540 6.540 12.715 Å, 90.00 90.00 132.96°
Element x y z (fractional)
K: 0.025 0.975 0.750
K: 0.975 0.025 0.250
Mg: 0.355 0.645 0.556
Mg: 0.355 0.645 0.944
Mg: 0.645 0.355 0.056
Mg: 0.645 0.355 0.444
Cl: 0.168 0.832 0.037
Cl: 0.168 0.832 0.463
Cl: 0.292 0.708 0.750
Cl: 0.451 0.549 0.118
Cl: 0.451 0.549 0.382
Cl: 0.549 0.451 0.618
Cl: 0.549 0.451 0.882
Cl: 0.708 0.292 0.250
Cl: 0.832 0.168 0.537
Cl: 0.832 0.168 0.963